No. 1
Below is a geometry-optimized FeOs2W structure, with properties calculated at the PBE level.

The energy above the most stable polymorph in this dataset is 38.9 kJ per mole of atoms. The calculation puts the formation energy from the elements at 43 kJ/mol of atoms. As for the space group: No. 35.

Structure (POSCAR):
```
FeOs2W
1.0
1.466 -2.239 0.000
1.466 2.239 0.000
0.000 0.000 8.867
Fe Os W
1 2 1
Cartesian
0.000 0.000 0.000 Fe
0.000 0.000 4.435 Os
1.466 0.000 6.749 Os
1.466 0.000 2.171 W
```

---

No. 2
Below is a geometry-optimized FeOsW structure, with properties calculated at the PBE level.

The energy above the most stable polymorph in this dataset is 3.0 kJ per mole of atoms. The calculation puts the formation energy from the elements at 16 kJ/mol of atoms. As for the space group: No. 156.

Structure (POSCAR):
```
FeOsW
1.0
4.284 0.000 0.000
-2.142 3.710 0.000
0.000 0.000 2.700
Fe Os W
1 1 1
Cartesian
0.000 0.000 0.000 Fe
2.142 1.237 0.975 Os
0.000 2.473 1.918 W
```

---

No. 3
Below is a geometry-optimized Fe2OsW structure, with properties calculated at the PBE level.

The calculation puts the formation energy from the elements at 23 kJ/mol of atoms. As for the space group: No. 160.

Structure (POSCAR):
```
Fe2OsW
1.0
1.378 0.796 8.450
-1.378 0.796 8.450
0.000 -1.592 8.450
Fe Os W
2 1 1
Cartesian
0.000 0.000 0.000 Fe
0.000 0.000 6.570 Fe
0.000 0.000 12.869 Os
0.000 0.000 19.107 W
```